Record 1
A plane-wave DFT calculation with PBE was carried out for a relaxed BiNF3 crystal.

Energy relative to the lowest polymorph listed for this composition ... 0 meV per atom
Crystal system ... monoclinic
Formation energy without anion corrections ... -1.900 eV/atom
D(E_F) ... 0.0 states/eV/cell

a b c (Å): 7.7123 7.7123 6.9014
angles (deg): 106.68 106.68 81.45
Positions (direct):
Bi 0.0679 0.2542 0.4948
Bi 0.2542 0.0679 0.9948
Bi 0.7458 0.9321 0.0052
Bi 0.9321 0.7458 0.5052
N 0.3111 0.6889 0.2500
N 0.4217 0.5783 0.2500
N 0.5783 0.4217 0.7500
N 0.6889 0.3111 0.7500
F 0.0351 0.8318 0.8730
F 0.1557 0.3107 0.8582
F 0.1655 0.5224 0.5145
F 0.1682 0.9649 0.6270
F 0.3107 0.1557 0.3582
F 0.4776 0.8345 0.9855
F 0.5224 0.1655 0.0145
F 0.6893 0.8443 0.6418
F 0.8318 0.0351 0.3730
F 0.8345 0.4776 0.4855
F 0.8443 0.6893 0.1418
F 0.9649 0.1682 0.1270



Record 2
A plane-wave DFT calculation with PBE was carried out for a relaxed Zr2CdP crystal.

Energy relative to the lowest polymorph listed for this composition ... 0 meV per atom
Formation enthalpy at 0 K ... -2.93 eV per formula unit
Crystal system ... trigonal
D(E_F) ... 3.1 states/eV/cell

a b c (Å): 7.7924 7.7924 7.7924
angles (deg): 26.92 26.92 26.92
Positions (direct):
Zr 0.2317 0.2317 0.2317
Zr 0.7683 0.7683 0.7683
Cd 0.0000 0.0000 0.0000
P 0.5000 0.5000 0.5000



Which of these has the highest D(E_F)? Zr2CdP



What is the D(E_F) in the second record? 3.1 states/eV/cell



Which formula does entry 1 have? BiNF3



Copy entry 2 word for word.
A plane-wave DFT calculation with PBE was carried out for a relaxed Zr2CdP crystal.

Energy relative to the lowest polymorph listed for this composition ... 0 meV per atom
Formation enthalpy at 0 K ... -2.93 eV per formula unit
Crystal system ... trigonal
D(E_F) ... 3.1 states/eV/cell

a b c (Å): 7.7924 7.7924 7.7924
angles (deg): 26.92 26.92 26.92
Positions (direct):
Zr 0.2317 0.2317 0.2317
Zr 0.7683 0.7683 0.7683
Cd 0.0000 0.0000 0.0000
P 0.5000 0.5000 0.5000